Pr3InGe3 PBE relaxed; M_tot = 0.000 μB per atom; formation enthalpy at 0 K = -13.32 kcal/mol of atoms; ρ = 5.876 g/cm³
1.0
-1.604 -2.885 -5.177
8.589 -0.208 -2.546
-3.411 -6.743 4.816
Ge Pr In
6 6 2
Cartesian
1.106 -8.701 -0.954
-3.145 -6.871 -0.657
3.377 -5.222 0.044
2.468 -1.136 -1.952
6.719 -2.967 -2.249
0.197 -4.615 -2.950
1.741 -2.635 -4.532
1.833 -7.202 1.626
0.992 -3.254 -0.314
2.582 -6.583 -2.592
-2.260 -5.403 1.891
5.834 -4.434 -4.798
4.188 -3.108 -1.386
-0.614 -6.729 -1.521

ReTe2S PBE relaxed; M_tot = 0.000 μB per atom; raw formation energy = 1.093 eV/atom; ρ = 8.975 g/cm³
1.0
1.893 0.000 9.407
-0.947 1.640 9.407
-0.947 -1.640 9.407
Te Re S
2 1 1
Cartesian
0.000 0.000 25.654
0.000 0.000 2.568
0.000 0.000 0.000
0.000 0.000 14.111

Ac2Hg3Pt4 PBE relaxed; M_tot = 0.000 μB per atom; formation enthalpy at 0 K = -14.09 kcal/mol of atoms; ρ = 14.786 g/cm³
1.0
5.983 0.000 0.000
0.000 7.748 0.000
-2.992 0.000 8.896
Pt Hg Ac
8 6 4
Cartesian
2.992 4.037 2.860
4.487 1.937 1.313
1.496 5.811 7.583
2.992 0.163 6.036
0.000 3.712 6.036
1.496 1.937 1.313
-1.496 5.811 7.583
0.000 7.586 2.860
1.496 1.937 4.206
4.487 1.937 4.206
-1.496 5.811 4.690
2.992 3.874 0.000
1.496 5.811 4.690
0.000 0.000 0.000
0.000 0.656 6.988
2.992 7.092 1.908
2.992 3.218 6.988
0.000 4.530 1.908